Crystalline Zn2HgOs at its relaxed geometry, computed with PBE.

Cell lengths 5.293, 5.293, 5.293 Å; angles 144.88, 129.17, 63.28 degrees
Element x y z (fractional)
Zn1 0.232 0.232 0.000
Zn2 0.768 0.768 0.000
Hg1 0.500 0.000 0.500
Os1 0.000 0.500 0.500

## Properties
Formation energy from the elements = 0.426 eV per atom

---

Crystalline IrRuS2 at its relaxed geometry, computed with PBE.

Cell lengths 7.464, 7.464, 7.464 Å; angles 25.86, 25.86, 25.86 degrees
Element x y z (fractional)
Ir1 0.000 0.000 0.000
Ru1 0.500 0.500 0.500
S1 0.396 0.396 0.396
S2 0.604 0.604 0.604

## Properties
Distance to the lowest polymorph of the same formula = 213 meV per atom
Formation energy (no corrections) = 0.18 eV/atom

---

Crystalline NbB2SbRu at its relaxed geometry, computed with PBE.

Cell lengths 4.286, 4.286, 4.926 Å; angles 90.00, 90.00, 90.00 degrees
Element x y z (fractional)
Nb1 0.000 0.000 0.000
B1 0.000 0.500 0.000
B2 0.500 0.000 0.000
Sb1 0.500 0.500 0.500
Ru1 0.000 0.000 0.500

## Properties
Formation energy (no corrections) = 1.47 eV/atom

---

Crystalline Y2Be3CuPt4 at its relaxed geometry, computed with PBE.

Cell lengths 3.995, 3.995, 9.971 Å; angles 90.00, 90.00, 90.00 degrees
Element x y z (fractional)
Y1 0.000 0.500 0.247
Y2 0.500 0.000 0.753
Be1 0.000 0.500 0.880
Be2 0.500 0.000 0.120
Be3 0.500 0.500 0.500
Cu1 0.000 0.000 0.500
Pt1 0.000 0.000 0.000
Pt2 0.000 0.500 0.649
Pt3 0.500 0.000 0.351
Pt4 0.500 0.500 0.000

## Properties
Formation energy from the elements = -0.851 eV per atom

---

| no. | size of the total moment (μB/f.u.) |
| --- | --- |
| 1 | 0.0 |
| 2 | 0.0 |
| 3 | 0.0 |
| 4 | 0.0 |